Record 1
Compound: YMn2Pt
Source: the Alexandria database
Functional: GGA-PBEsol
Structure: optimized geometry

a b c (Å): 3.2690 3.2690 6.5086
angles (deg): 90.00 90.00 90.00
Fractional coordinates of all 4 atoms:
Y  0.0000  0.0000  0.0000
Mn  0.5000  0.5000  0.2966
Mn  0.5000  0.5000  0.7034
Pt  0.0000  0.0000  0.5000

Results
E above lowest polymorph: 227 meV per atom
E: -32.9 eV per cell
SG: P4/mmm (123)
DFT formation energy: 92.5 meV per atom

***

Record 2
Compound: MnZnPt
Source: the Alexandria database
Functional: GGA-PBEsol
Structure: optimized geometry

a b c (Å): 4.6706 4.6706 4.6706
angles (deg): 139.69 139.69 58.32
Fractional coordinates of all 3 atoms:
Mn  0.0000  0.0000  0.0000
Zn  0.3317  0.3317  0.0000
Pt  0.6647  0.6647  0.0000

Results
E: -19.0 eV per cell
SG: I4mm (107)
DFT formation energy: -220.4 meV per atom

***

Record 3
Compound: MnZnPt
Source: the Alexandria database
Functional: GGA-PBEsol
Structure: optimized geometry

a b c (Å): 4.6518 4.6518 4.6518
angles (deg): 144.85 133.39 59.69
Fractional coordinates of all 3 atoms:
Mn  0.0000  0.0000  0.0000
Zn  0.3321  0.3321  0.0000
Pt  0.6659  0.6659  0.0000

Results
E: -19.1 eV per cell
SG: Imm2 (44)
DFT formation energy: -260.4 meV per atom

***

Record 4
Compound: MnZnPt
Source: the Alexandria database
Functional: GGA-PBEsol
Structure: optimized geometry

a b c (Å): 4.1765 4.1765 4.1765
angles (deg): 60.00 60.00 60.00
Fractional coordinates of all 3 atoms:
Mn  0.0000  0.0000  0.0000
Zn  0.5000  0.5000  0.5000
Pt  0.7500  0.7500  0.7500

Results
E: -18.2 eV per cell
SG: F-43m (216)
DFT formation energy: 25.3 meV per atom

***

Record 5
Compound: ZrMn2Pt
Source: the Alexandria database
Functional: GGA-PBEsol
Structure: optimized geometry

a b c (Å): 4.8677 4.8677 4.8677
angles (deg): 132.57 132.57 69.33
Fractional coordinates of all 4 atoms:
Zr  0.0000  0.0000  0.0000
Mn  0.2500  0.7500  0.5000
Mn  0.7500  0.2500  0.5000
Pt  0.5000  0.5000  0.0000

Results
E: -36.3 eV per cell
SG: I4/mmm (139)
DFT formation energy: -181.8 meV per atom

***

Record 6
Compound: ZrMn2Pt
Source: the Alexandria database
Functional: GGA-PBEsol
Structure: optimized geometry

a b c (Å): 5.0838 5.0838 2.7998
angles (deg): 102.10 102.10 115.29
Fractional coordinates of all 4 atoms:
Zr  0.0000  0.0000  0.0000
Mn  0.0000  0.5000  0.5000
Mn  0.5000  0.0000  0.5000
Pt  0.5000  0.5000  0.0000

Results
E: -35.7 eV per cell
SG: C2/m (12)
DFT formation energy: -19.9 meV per atom